The following is a PBE calculation of a geometry-optimized Li5Ga3Au3 structure, from the Alexandria database.

abc: 2.9149 8.9356 8.9356
angles: 120.00 90.00 90.00
Sites, in units of the cell vectors:
Li  0.5000  0.6667  0.3333
Li  0.5000  0.3333  0.6667
Li  0.5000  0.3411  0.0000
Li  0.5000  0.6589  0.6589
Li  0.5000  0.0000  0.3411
Ga  0.5000  0.8324  0.0000
Ga  0.5000  0.1676  0.1676
Ga  0.5000  0.0000  0.8324
Au  0.0000  0.5861  0.0000
Au  0.0000  0.0000  0.5861
Au  0.0000  0.4139  0.4139

ΔH_f (0 K)   -274 meV/atom